Entry 1:
{
  "formula": "Mn2TcAg",
  "functional": "PBE",
  "state": "relaxed",
  "dos_at_fermi_per_ev_fu": 5.212,
  "delta_e_f_ev_per_atom": 0.553,
  "final_energy_ev_per_atom": -7.336,
  "cell": [[0.0000, 3.0977, 3.0977], [3.0977, 0.0000, 3.0977], [3.0977, 3.0977, 0.0000]],
  "species": ["Mn", "Mn", "Tc", "Ag"],
  "frac_coords": [[0.0000, 0.0000, 0.0000], [0.2500, 0.2500, 0.2500], [0.5000, 0.5000, 0.5000], [0.7500, 0.7500, 0.7500]]
}

---

Entry 2:
{
  "formula": "Mn2TcAg",
  "functional": "PBE",
  "state": "relaxed",
  "dos_at_fermi_per_ev_fu": 3.783,
  "delta_e_f_ev_per_atom": 0.380,
  "final_energy_ev_per_atom": -7.509,
  "cell": [[3.0941, -3.2983, 0.0000], [3.0941, 3.2983, 0.0000], [0.0000, 0.0000, 2.9349]],
  "species": ["Mn", "Mn", "Tc", "Ag"],
  "frac_coords": [[0.0000, 0.5000, 0.0000], [0.5000, 0.0000, 0.0000], [0.0000, 0.0000, 0.5000], [0.5000, 0.5000, 0.5000]]
}

---

Entry 3:
{
  "formula": "MnTcAg2",
  "functional": "PBE",
  "state": "relaxed",
  "dos_at_fermi_per_ev_fu": 6.340,
  "delta_e_f_ev_per_atom": 1.032,
  "final_energy_ev_per_atom": -5.277,
  "cell": [[0.0000, 3.1265, 3.1265], [3.1265, 0.0000, 3.1265], [3.1265, 3.1265, 0.0000]],
  "species": ["Mn", "Tc", "Ag", "Ag"],
  "frac_coords": [[0.0000, 0.0000, 0.0000], [0.5000, 0.5000, 0.5000], [0.2500, 0.2500, 0.2500], [0.7500, 0.7500, 0.7500]]
}

---

Entry 4:
{
  "formula": "Mn2TcAg",
  "functional": "PBE",
  "state": "relaxed",
  "dos_at_fermi_per_ev_fu": 5.598,
  "delta_e_f_ev_per_atom": 0.799,
  "final_energy_ev_per_atom": -7.090,
  "cell": [[-3.4074, 3.4074, 2.7113], [3.4074, -3.4074, 2.7113], [3.4074, 3.4074, -2.7113]],
  "species": ["Mn", "Mn", "Mn", "Mn", "Tc", "Tc", "Ag", "Ag"],
  "frac_coords": [[0.0925, 0.6250, 0.9675], [0.3750, 0.3425, 0.4675], [0.6575, 0.1250, 0.0325], [0.8750, 0.9075, 0.5325], [0.0000, 0.0000, 0.0000], [0.7500, 0.2500, 0.5000], [0.2500, 0.7500, 0.5000], [0.5000, 0.5000, 0.0000]]
}

---

Entry 5:
{
  "formula": "MnTcAg",
  "functional": "PBE",
  "state": "relaxed",
  "dos_at_fermi_per_ev_fu": 2.645,
  "delta_e_f_ev_per_atom": 0.362,
  "final_energy_ev_per_atom": -7.100,
  "cell": [[0.0000, 2.2312, 6.6420], [1.5559, 0.0000, 6.6420], [1.5559, 2.2312, 0.0000]],
  "species": ["Mn", "Tc", "Ag"],
  "frac_coords": [[0.0000, 0.0000, 0.0000], [0.3581, 0.3581, 0.6419], [0.6729, 0.6729, 0.3271]]
}

---

Entry 6:
{
  "formula": "Mn2TcAg",
  "functional": "PBE",
  "state": "relaxed",
  "dos_at_fermi_per_ev_fu": 3.516,
  "delta_e_f_ev_per_atom": 0.319,
  "final_energy_ev_per_atom": -7.570,
  "cell": [[1.4139, 0.8163, 8.6882], [-1.4139, 0.8163, 8.6882], [0.0000, -1.6327, 8.6882]],
  "species": ["Mn", "Mn", "Tc", "Ag"],
  "frac_coords": [[0.2445, 0.2445, 0.2445], [0.7555, 0.7555, 0.7555], [0.5000, 0.5000, 0.5000], [0.0000, 0.0000, 0.0000]]
}

---

Entry 7:
{
  "formula": "MnTcAg2",
  "functional": "PBE",
  "state": "relaxed",
  "dos_at_fermi_per_ev_fu": 3.504,
  "delta_e_f_ev_per_atom": 0.502,
  "final_energy_ev_per_atom": -5.808,
  "cell": [[2.8525, 0.0000, 0.0000], [0.0000, 4.6218, 0.0000], [0.0000, 0.0000, 4.8974]],
  "species": ["Mn", "Tc", "Ag", "Ag"],
  "frac_coords": [[0.0000, 0.0000, 0.0000], [0.5000, 0.5000, 0.0000], [0.0000, 0.5000, 0.5000], [0.5000, 0.0000, 0.5000]]
}

---

Entry 8:
{
  "formula": "Mn2TcAg",
  "functional": "PBE",
  "state": "relaxed",
  "dos_at_fermi_per_ev_fu": 3.939,
  "delta_e_f_ev_per_atom": 0.451,
  "final_energy_ev_per_atom": -7.438,
  "cell": [[-1.8892, 1.8892, 4.0411], [1.8892, -1.8892, 4.0411], [1.8892, 1.8892, -4.0411]],
  "species": ["Mn", "Mn", "Tc", "Ag"],
  "frac_coords": [[0.0000, 0.0000, 0.0000], [0.7500, 0.2500, 0.5000], [0.2500, 0.7500, 0.5000], [0.5000, 0.5000, 0.0000]]
}

---

Entry 9:
{
  "formula": "MnTcAg2",
  "functional": "PBE",
  "state": "relaxed",
  "dos_at_fermi_per_ev_fu": 4.060,
  "delta_e_f_ev_per_atom": 0.957,
  "final_energy_ev_per_atom": -5.353,
  "cell": [[-3.6868, 3.6868, 2.6272], [3.6868, -3.6868, 2.6272], [3.6868, 3.6868, -2.6272]],
  "species": ["Mn", "Mn", "Tc", "Tc", "Ag", "Ag", "Ag", "Ag"],
  "frac_coords": [[0.0000, 0.0000, 0.0000], [0.7500, 0.2500, 0.5000], [0.2500, 0.7500, 0.5000], [0.5000, 0.5000, 0.0000], [0.1159, 0.1250, 0.4909], [0.3750, 0.8841, 0.0091], [0.6341, 0.6250, 0.5091], [0.8750, 0.3659, 0.9909]]
}

---

Entry 10:
{
  "formula": "MnTcAg2",
  "functional": "PBE",
  "state": "relaxed",
  "dos_at_fermi_per_ev_fu": 3.314,
  "delta_e_f_ev_per_atom": 0.642,
  "final_energy_ev_per_atom": -5.668,
  "cell": [[3.3631, 0.0000, 0.0000], [0.0000, 3.3631, 0.0000], [0.0000, 0.0000, 5.7966]],
  "species": ["Mn", "Tc", "Ag", "Ag"],
  "frac_coords": [[0.0000, 0.0000, 0.0000], [0.0000, 0.0000, 0.5000], [0.5000, 0.5000, 0.2430], [0.5000, 0.5000, 0.7570]]
}

---

Entry 11:
{
  "formula": "Mn2TcAg",
  "functional": "PBE",
  "state": "relaxed",
  "dos_at_fermi_per_ev_fu": 3.762,
  "delta_e_f_ev_per_atom": 0.420,
  "final_energy_ev_per_atom": -7.469,
  "cell": [[-1.4687, 2.2099, 4.5101], [1.4687, -2.2099, 4.5101], [1.4687, 2.2099, -4.5101]],
  "species": ["Mn", "Mn", "Tc", "Ag"],
  "frac_coords": [[0.0000, 0.0000, 0.0000], [0.7575, 0.2575, 0.5000], [0.2218, 0.7218, 0.5000], [0.4962, 0.4962, 0.0000]]
}

---

Entry 12:
{
  "formula": "MnTcAg2",
  "functional": "PBE",
  "state": "relaxed",
  "dos_at_fermi_per_ev_fu": 3.534,
  "delta_e_f_ev_per_atom": 0.501,
  "final_energy_ev_per_atom": -5.808,
  "cell": [[2.6838, 0.0000, 0.0000], [0.0000, 4.7272, 0.0000], [-0.8532, 0.0000, 5.0500]],
  "species": ["Mn", "Tc", "Ag", "Ag"],
  "frac_coords": [[0.0000, 0.0000, 0.0000], [0.5000, 0.0000, 0.5000], [0.1988, 0.5000, 0.7545], [0.8012, 0.5000, 0.2455]]
}

---

Number 1: volume 14.86 Å³ per atom. Number 2: volume 14.98 Å³ per atom. Number 3: volume 15.28 Å³ per atom. Number 4: volume 15.74 Å³ per atom. Number 5: volume 15.37 Å³ per atom. Number 6: volume 15.04 Å³ per atom. Number 7: volume 16.14 Å³ per atom. Number 8: volume 14.42 Å³ per atom. Number 9: volume 17.86 Å³ per atom. Number 10: volume 16.39 Å³ per atom. Number 11: volume 14.64 Å³ per atom. Number 12: volume 16.02 Å³ per atom.